Below is crystalline TaBe2Sb at its relaxed geometry, with properties calculated at the PBE level.

Structure (CIF):
```
data_TaBe2Sb
_symmetry_space_group_name_H-M 'C m m m'
_symmetry_Int_Tables_number 65
_symmetry_space_group_name_Hall '-C 2 2'
_cell_length_a 3.852
_cell_length_b 8.763
_cell_length_c 4.080
_cell_angle_alpha 90.00
_cell_angle_beta 90.00
_cell_angle_gamma 90.00
loop_
_atom_site_label
_atom_site_fract_x
_atom_site_fract_y
_atom_site_fract_z
Ta1 0.000 0.000 0.000
Be1 0.000 0.296 0.000
Sb1 0.000 0.500 0.500
```

- energy relative to the elements, uncorrected (eV per atom) = 0.365
- E_tot (eV per cell) = -43.9
- total magnetization (μB per cell) = 0.0

***

Below is crystalline Ru5Au3 at its relaxed geometry, with properties calculated at the PBE level.

Structure (CIF):
```
data_Ru5Au3
_symmetry_space_group_name_H-M 'P 63/m c m'
_symmetry_Int_Tables_number 193
_symmetry_space_group_name_Hall '-P 6c 2'
_cell_length_a 8.0857
_cell_length_b 8.0857
_cell_length_c 4.6980
_cell_angle_alpha 90.00
_cell_angle_beta 90.00
_cell_angle_gamma 120.00
loop_
_atom_site_label
_atom_site_fract_x
_atom_site_fract_y
_atom_site_fract_z
Ru1 0.0000 0.1845 0.2500
Ru2 0.3333 0.6667 0.0000
Au1 0.0000 0.3906 0.7500
```

- relative energy among the computed polymorphs (kcal/mol of atoms) = 4.63
- E_tot (eV per cell) = -101.5
- total magnetization (μB per cell) = 6.3
- DFT formation energy (eV/atom) = 0.68

***

Below is crystalline MgBeSb2 at its relaxed geometry, with properties calculated at the PBE level.

Structure (CIF):
```
data_MgBeSb2
_symmetry_space_group_name_H-M 'F -4 3 m'
_symmetry_Int_Tables_number 216
_symmetry_space_group_name_Hall 'F -4 2 3'
_cell_length_a 7.096
_cell_length_b 7.096
_cell_length_c 7.096
_cell_angle_alpha 90.00
_cell_angle_beta 90.00
_cell_angle_gamma 90.00
loop_
_atom_site_label
_atom_site_fract_x
_atom_site_fract_y
_atom_site_fract_z
Mg1 0.000 0.000 0.000
Be1 0.250 0.250 0.750
Sb1 0.000 0.000 0.500
Sb2 0.250 0.250 0.250
```

- relative energy among the computed polymorphs (kcal/mol of atoms) = 9.38
- energy relative to the elements, uncorrected (eV per atom) = 0.492
- E_tot (eV per cell) = -46.4
- total magnetization (μB per cell) = 0.0